# 1
# CeNd5Tl4

A relaxed CeNd5Tl4 crystal (PBE, Alexandria). Values from VASP.

Energy above the lowest structure with this stoichiometry, meV per atom: 0.0
E_tot, eV per formula unit: -42.13
Total magnetization, μB/f.u.: 0.233
DFT formation energy, kJ/mol of formula units: -279
Calculated density, Mg/m³: 9.3

The structure in Quantum ESPRESSO input format:
```
&SYSTEM
  ibrav = 0, nat = 10, ntyp = 3
/
ATOMIC_SPECIES
Ce 140.12 Ce.upf
Nd 144.24 Nd.upf
Tl 204.38 Tl.upf
ATOMIC_POSITIONS angstrom
Ce 0.000 0.000 0.000
Nd 1.834 1.834 2.390
Nd 1.834 1.834 6.784
Nd 1.834 1.834 11.195
Nd 1.834 1.834 15.606
Nd 1.834 1.834 20.001
Tl 0.000 0.000 4.559
Tl 0.000 0.000 8.985
Tl 0.000 0.000 13.406
Tl 0.000 0.000 17.832
CELL_PARAMETERS angstrom
3.669 0.000 0.000
0.000 3.669 0.000
0.000 0.000 22.391
```

=====

# 2
# Ta2OsPt

A relaxed Ta2OsPt crystal (PBE, Alexandria). Values from VASP.

E_tot, eV per formula unit: -42.23
Total magnetization, μB/f.u.: 0.000
DFT formation energy, kJ/mol of formula units: -121
Calculated density, Mg/m³: 18.7

The structure in Quantum ESPRESSO input format:
```
&SYSTEM
  ibrav = 0, nat = 4, ntyp = 3
/
ATOMIC_SPECIES
Ta 180.95 Ta.upf
Os 190.23 Os.upf
Pt 195.08 Pt.upf
ATOMIC_POSITIONS angstrom
Ta 0.000 0.000 0.000
Ta 1.619 0.000 3.217
Os 4.200 0.000 2.353
Pt 6.876 0.000 0.896
CELL_PARAMETERS angstrom
4.712 -1.485 0.000
4.712 1.485 0.000
-0.806 0.000 4.754
```

=====

# 3
# Tb2Pm2SiIr4

A relaxed Tb2Pm2SiIr4 crystal (PBE, Alexandria). Values from VASP.

E_tot, eV per formula unit: -63.47
Total magnetization, μB/f.u.: 0.000
Formation energy (no corrections), meV/atom: -427
Calculated density, Mg/m³: 12.3

The structure in Quantum ESPRESSO input format:
```
&SYSTEM
  ibrav = 0, nat = 9, ntyp = 4
/
ATOMIC_SPECIES
Tb 158.93 Tb.upf
Pm 145.00 Pm.upf
Si 28.09 Si.upf
Ir 192.22 Ir.upf
ATOMIC_POSITIONS angstrom
Tb 3.229 0.000 2.280
Tb 0.000 3.229 2.280
Pm 0.000 0.000 1.748
Pm 0.000 0.000 7.373
Si 0.000 0.000 4.561
Ir 1.597 1.597 0.000
Ir 1.633 -1.633 4.561
Ir -1.633 1.633 4.561
Ir 1.633 1.633 4.561
CELL_PARAMETERS angstrom
-3.229 3.229 4.561
3.229 -3.229 4.561
3.229 3.229 -4.561
```

=====

# 4
# PmTmCoCu

A relaxed PmTmCoCu crystal (PBE, Alexandria). Values from VASP.

Energy above the lowest structure with this stoichiometry, meV per atom: 0.0
E_tot, eV per formula unit: -21.15
Total magnetization, μB/f.u.: 0.000
DFT formation energy, kJ/mol of formula units: -70
Calculated density, Mg/m³: 8.7

The structure in Quantum ESPRESSO input format:
```
&SYSTEM
  ibrav = 0, nat = 4, ntyp = 4
/
ATOMIC_SPECIES
Pm 145.00 Pm.upf
Tm 168.93 Tm.upf
Co 58.93 Co.upf
Cu 63.55 Cu.upf
ATOMIC_POSITIONS angstrom
Pm 0.000 0.000 0.000
Tm 2.148 0.000 2.868
Co 0.000 0.000 7.305
Cu 2.148 0.000 5.897
CELL_PARAMETERS angstrom
4.295 0.000 0.000
0.000 1.909 5.086
0.000 -1.909 5.086
```

=====

# 5
# NpNi4Pt8

A relaxed NpNi4Pt8 crystal (PBE, Alexandria). Values from VASP.

E_tot, eV per formula unit: -87.40
Total magnetization, μB/f.u.: 1.237
DFT formation energy, kJ/mol of formula units: -290
Calculated density, Mg/m³: 17.1

The structure in Quantum ESPRESSO input format:
```
&SYSTEM
  ibrav = 0, nat = 13, ntyp = 3
/
ATOMIC_SPECIES
Np 237.00 Np.upf
Ni 58.69 Ni.upf
Pt 195.08 Pt.upf
ATOMIC_POSITIONS angstrom
Np 0.000 0.000 0.000
Ni 2.203 2.203 -1.274
Ni 2.203 -2.203 1.274
Ni -2.203 2.203 1.274
Ni 2.203 2.203 1.274
Pt 2.996 0.000 0.000
Pt 5.818 0.000 0.000
Pt 4.407 2.483 0.000
Pt 0.000 2.996 0.000
Pt 2.483 4.407 0.000
Pt 1.924 0.000 2.547
Pt 0.000 5.818 0.000
Pt 0.000 1.924 2.547
CELL_PARAMETERS angstrom
-4.407 4.407 2.547
4.407 -4.407 2.547
4.407 4.407 -2.547
```

=====

# 6
# Mg3Cd2

A relaxed Mg3Cd2 crystal (PBE, Alexandria). Values from VASP.

Energy above the lowest structure with this stoichiometry, meV per atom: 109.6
E_tot, eV per formula unit: -6.44
Total magnetization, μB/f.u.: 0.000
DFT formation energy, kJ/mol of formula units: 16
Calculated density, Mg/m³: 4.2

The structure in Quantum ESPRESSO input format:
```
&SYSTEM
  ibrav = 0, nat = 5, ntyp = 2
/
ATOMIC_SPECIES
Mg 24.30 Mg.upf
Cd 112.41 Cd.upf
ATOMIC_POSITIONS angstrom
Mg -1.534 -0.886 3.642
Mg -1.534 0.886 7.283
Mg 0.000 1.771 3.642
Cd 0.000 0.000 1.371
Cd 0.000 0.000 9.554
CELL_PARAMETERS angstrom
3.068 1.771 3.642
-3.068 1.771 3.642
0.000 -3.542 3.642
```

=====

# 7
# Y3ScTc

A relaxed Y3ScTc crystal (PBE, Alexandria). Values from VASP.

Energy above the lowest structure with this stoichiometry, meV per atom: 1344.3
E_tot, eV per formula unit: -29.44
Total magnetization, μB/f.u.: 4.181
DFT formation energy, kJ/mol of formula units: 642
Calculated density, Mg/m³: 4.4

The structure in Quantum ESPRESSO input format:
```
&SYSTEM
  ibrav = 0, nat = 5, ntyp = 3
/
ATOMIC_SPECIES
Y 88.91 Y.upf
Sc 44.96 Sc.upf
Tc 98.00 Tc.upf
ATOMIC_POSITIONS angstrom
Y 0.000 0.000 2.675
Y 0.000 2.675 0.000
Y 2.675 0.000 0.000
Sc 0.000 0.000 0.000
Tc 2.675 2.675 2.675
CELL_PARAMETERS angstrom
5.350 0.000 0.000
0.000 5.350 0.000
0.000 0.000 5.350
```

=====

# 8
# Li4TbGe4

A relaxed Li4TbGe4 crystal (PBE, Alexandria). Values from VASP.

E_tot, eV per formula unit: -33.85
Total magnetization, μB/f.u.: 0.000
DFT formation energy, kJ/mol of formula units: -298
Calculated density, Mg/m³: 4.9

The structure in Quantum ESPRESSO input format:
```
&SYSTEM
  ibrav = 0, nat = 18, ntyp = 3
/
ATOMIC_SPECIES
Li 6.94 Li.upf
Tb 158.93 Tb.upf
Ge 72.64 Ge.upf
ATOMIC_POSITIONS angstrom
Li 0.056 1.526 1.395
Li 1.526 0.056 5.713
Li 1.526 2.996 5.713
Li 2.996 1.526 1.395
Li 3.107 4.578 7.242
Li 4.578 3.107 2.923
Li 4.578 6.048 2.923
Li 6.048 4.578 7.242
Tb 1.526 4.578 2.159
Tb 4.578 1.526 6.478
Ge 0.272 1.526 3.988
Ge 1.526 0.272 8.306
Ge 1.526 2.780 8.306
Ge 2.780 1.526 3.988
Ge 3.323 4.578 4.649
Ge 4.578 3.323 0.331
Ge 4.578 5.832 0.331
Ge 5.832 4.578 4.649
CELL_PARAMETERS angstrom
6.103 0.000 0.000
0.000 6.103 0.000
0.000 0.000 8.637
```